[1]
! AgSnBi2S5, relaxed, DFT GGA-PBE; values from VASP
&SYSTEM
  ibrav = 0, nat = 18, ntyp = 4
/
ATOMIC_SPECIES
Ag 107.87 Ag.upf
Sn 118.71 Sn.upf
Bi 208.98 Bi.upf
S 32.06 S.upf
ATOMIC_POSITIONS crystal
Ag 0.058 0.942 0.500
Ag 0.942 0.058 0.000
Sn 0.262 0.738 0.071
Sn 0.738 0.262 0.571
Bi 0.362 0.638 0.309
Bi 0.427 0.573 0.713
Bi 0.573 0.427 0.213
Bi 0.638 0.362 0.809
S 0.006 0.994 0.836
S 0.108 0.892 0.079
S 0.221 0.779 0.449
S 0.237 0.763 0.734
S 0.429 0.571 0.126
S 0.571 0.429 0.626
S 0.763 0.237 0.234
S 0.779 0.221 0.949
S 0.892 0.108 0.579
S 0.994 0.006 0.336
CELL_PARAMETERS angstrom
1.965 -8.346 0.000
1.965 8.346 0.000
0.000 0.000 13.775
! energy relative to the elements, uncorrected	-0.24	eV/atom
! raw total energy	-4.161	eV/atom
! SG	Cmc2_1

---

[2]
! NdSmTm2Te6, relaxed, DFT GGA-PBE; values from VASP
&SYSTEM
  ibrav = 0, nat = 10, ntyp = 4
/
ATOMIC_SPECIES
Nd 144.24 Nd.upf
Sm 150.36 Sm.upf
Tm 168.93 Tm.upf
Te 127.60 Te.upf
ATOMIC_POSITIONS crystal
Nd 0.000 0.000 0.000
Sm 0.498 0.498 0.498
Tm 0.310 0.310 0.310
Tm 0.811 0.811 0.811
Te 0.080 0.698 0.423
Te 0.203 0.580 0.917
Te 0.423 0.080 0.698
Te 0.580 0.917 0.203
Te 0.698 0.423 0.080
Te 0.917 0.203 0.580
CELL_PARAMETERS angstrom
3.886 2.243 7.017
-3.886 2.243 7.017
0.000 -4.487 7.017
! energy relative to the elements, uncorrected	-1.35	eV/atom
! raw total energy	-5.080	eV/atom
! SG	R3